Entry 1:
Here is a geometry-optimized ZrMnB2Br structure from Alexandria via LeMat-Bulk. Energies are from PBE.

CIF file:
```
data_ZrMnB2Br
_chemical_formula_sum 'Zr1 Mn1 B2 Br1'
_cell_length_a 4.5428
_cell_length_b 4.5428
_cell_length_c 4.9852
_cell_angle_alpha 90.00
_cell_angle_beta 90.00
_cell_angle_gamma 90.00
_space_group_name_H-M_alt 'P 4/m m m'
_space_group_IT_number 123
_space_group_name_Hall '-P 4 2'
loop_
_atom_site_label
_atom_site_fract_x
_atom_site_fract_y
_atom_site_fract_z
_atom_site_occupancy
Zr1 0.0000 0.0000 0.0000 1
Mn1 0.0000 0.0000 0.5000 1
B1 0.0000 0.5000 0.0000 1
Br1 0.5000 0.5000 0.5000 1
```

- raw formation energy (meV per atom) = 1924
- VASP energy (eV per atom) = -4.625

=====

Entry 2:
Here is a geometry-optimized ZrScTc4 structure from Alexandria via LeMat-Bulk. Energies are from PBE.

CIF file:
```
data_ZrScTc4
_chemical_formula_sum 'Zr4 Sc4 Tc16'
_cell_length_a 7.4461
_cell_length_b 7.4461
_cell_length_c 7.4461
_cell_angle_alpha 90.00
_cell_angle_beta 90.00
_cell_angle_gamma 90.00
_space_group_name_H-M_alt 'F -4 3 m'
_space_group_IT_number 216
_space_group_name_Hall 'F -4 2 3'
loop_
_atom_site_label
_atom_site_fract_x
_atom_site_fract_y
_atom_site_fract_z
_atom_site_occupancy
Zr1 0.0000 0.0000 0.0000 1
Sc1 0.2500 0.2500 0.2500 1
Tc1 0.1249 0.1249 0.6249 1
```

- energy of formation (eV per formula unit) = -1.67
- VASP energy (eV per atom) = -9.668